An optimized crystal structure of CsAg2MoF8, computed with GGA+U.

Cell lengths 5.587, 5.587, 9.101 Å; angles 90.00, 90.00, 120.00 degrees
Each line ends with the local moment (μB).
Fractional coordinates of all 12 atoms:
1 F 0.164 0.329 0.120  0.01
2 F 0.836 0.671 0.880  0.01
3 F 0.671 0.836 0.120  0.01
4 F 0.164 0.836 0.120  0.01
5 F 0.836 0.164 0.880  0.01
6 F 0.333 0.667 0.571  -0.07
7 F 0.329 0.164 0.880  0.01
8 F 0.667 0.333 0.429  -0.07
9 Mo 0.000 0.000 0.000  0.99
10 Cs 0.000 0.000 0.500  0.00
11 Ag 0.667 0.333 0.200  -0.06
12 Ag 0.333 0.667 0.800  -0.06

## Properties
Its volume is 246.0 Å³/f.u. The total DFT energy (no corrections) is -4.274 eV/atom.